Y6Er8Sc, optimized geometry, DFT GGA-PBE; ρ = 6.768 g cm⁻³; volume = 470 Å³/f.u.; ΔH_f (0 K) = 0.14 eV/atom; distance to the lowest polymorph of the same formula = 24 meV/atom; DOS at the Fermi energy = 1.644 states/eV per atom
1.0
9.726 0.000 0.000
-4.863 8.423 0.000
0.000 0.000 5.739
Y Er Sc
6 8 1
direct
0.092 0.468 0.261
0.376 0.908 0.261
0.468 0.376 0.739
0.532 0.624 0.261
0.624 0.092 0.739
0.908 0.532 0.739
0.052 0.270 0.770
0.218 0.948 0.770
0.270 0.218 0.230
0.333 0.667 0.768
0.667 0.333 0.232
0.730 0.782 0.770
0.782 0.052 0.230
0.948 0.730 0.230
0.000 0.000 0.500